1.
The following is a DFT calculation (PBE) of a geometry-optimized TbSmMgZn structure.

Cell: 7.419 7.419 7.419 Å, 90.00 90.00 90.00°
Space group F-43m (No. 216)
Symmetry-distinct sites (fractional):
Tb 0.000 0.000 0.000 x4
Sm 0.000 0.000 0.500 x4
Mg 0.250 0.250 0.250 x4
Zn 0.250 0.250 0.750 x4

Spin magnetization   0.0 μB/f.u.
ΔH_f (0 K)   -0.178 eV/atom
Crystal system   cubic
DOS at the Fermi energy   16.69 states/eV/cell
Energy relative to the lowest polymorph listed for this composition   32 meV/atom

2.
The following is a DFT calculation (PBE) of a geometry-optimized TbSmMgZn structure.

Cell: 3.646 3.646 7.763 Å, 90.00 90.00 90.00°
Space group P4mm (No. 99)
Symmetry-distinct sites (fractional):
Tb 0.000 0.000 0.000 x1
Sm 0.000 0.000 0.449 x1
Mg 0.500 0.500 0.730 x1
Zn 0.500 0.500 0.215 x1

Spin magnetization   0.0 μB/f.u.
ΔH_f (0 K)   -0.210 eV/atom
Crystal system   tetragonal
DOS at the Fermi energy   4.59 states/eV/cell
Energy relative to the lowest polymorph listed for this composition   0 meV/atom

3.
The following is a DFT calculation (PBE) of a geometry-optimized TbSmMgZr structure.

Cell: 7.619 7.619 7.619 Å, 90.00 90.00 90.00°
Space group F-43m (No. 216)
Symmetry-distinct sites (fractional):
Tb 0.000 0.000 0.000 x4
Sm 0.000 0.000 0.500 x4
Mg 0.250 0.250 0.750 x4
Zr 0.250 0.250 0.250 x4

Spin magnetization   1.9 μB/f.u.
ΔH_f (0 K)   0.129 eV/atom
Crystal system   cubic
DOS at the Fermi energy   20.31 states/eV/cell

4.
The following is a DFT calculation (PBE) of a geometry-optimized Sm8Mg3Tc2 structure.

Cell: 8.854 16.200 5.352 Å, 90.00 90.00 90.00°
Space group Cmmm (No. 65)
Symmetry-distinct sites (fractional):
Sm 0.000 0.105 0.000 x4
Sm 0.000 0.297 0.000 x4
Sm 0.220 0.359 0.500 x8
Mg 0.000 0.000 0.500 x2
Mg 0.172 0.500 0.000 x4
Tc 0.000 0.213 0.500 x4

Spin magnetization   0.0 μB/f.u.
ΔH_f (0 K)   0.080 eV/atom
Crystal system   orthorhombic
DOS at the Fermi energy   26.04 states/eV/cell

5.
The following is a DFT calculation (PBE) of a geometry-optimized Sm6MgTc structure.

Cell: 8.277 10.350 6.502 Å, 90.00 107.42 90.00°
Space group C2/m (No. 12)
Symmetry-distinct sites (fractional):
Sm 0.107 0.191 0.291 x8
Sm 0.213 0.500 0.110 x4
Mg 0.000 0.500 0.500 x2
Tc 0.000 0.000 0.000 x2

Spin magnetization   0.0 μB/f.u.
ΔH_f (0 K)   0.161 eV/atom
Crystal system   monoclinic
DOS at the Fermi energy   20.50 states/eV/cell

6.
The following is a DFT calculation (PBE) of a geometry-optimized Sm3MgTc structure.

Cell: 5.756 6.801 7.472 Å, 90.00 105.47 90.00°
Space group P2_1/m (No. 11)
Symmetry-distinct sites (fractional):
Sm 0.015 0.002 0.231 x4
Sm 0.422 0.250 0.612 x2
Mg 0.481 0.250 0.101 x2
Tc 0.183 0.750 0.544 x2

Spin magnetization   0.0 μB/f.u.
ΔH_f (0 K)   0.037 eV/atom
Crystal system   monoclinic
DOS at the Fermi energy   7.87 states/eV/cell
Energy relative to the lowest polymorph listed for this composition   0 meV/atom

7.
The following is a DFT calculation (PBE) of a geometry-optimized Sm4MgTc structure.

Cell: 9.109 13.108 6.316 Å, 90.00 108.40 90.00°
Space group C2/c (No. 15)
Symmetry-distinct sites (fractional):
Sm 0.106 0.167 0.052 x8
Sm 0.222 0.416 0.378 x8
Mg 0.000 0.379 0.750 x4
Tc 0.000 0.000 0.250 x4

Spin magnetization   0.0 μB/f.u.
ΔH_f (0 K)   -0.034 eV/atom
Crystal system   monoclinic
DOS at the Fermi energy   24.42 states/eV/cell

8.
The following is a DFT calculation (PBE) of a geometry-optimized Sm8MgTc2 structure.

Cell: 15.458 6.766 6.351 Å, 90.00 94.54 90.00°
Space group C2/m (No. 12)
Symmetry-distinct sites (fractional):
Sm 0.075 0.000 0.344 x4
Sm 0.125 0.253 0.886 x8
Sm 0.206 0.500 0.378 x4
Mg 0.000 0.500 0.500 x2
Tc 0.229 0.000 0.178 x4

Spin magnetization   0.0 μB/f.u.
ΔH_f (0 K)   0.024 eV/atom
Crystal system   monoclinic
DOS at the Fermi energy   16.51 states/eV/cell

9.
The following is a DFT calculation (PBE) of a geometry-optimized Sm3Mg2Tc structure.

Cell: 5.131 15.230 8.092 Å, 90.00 90.00 90.00°
Space group Cmmm (No. 65)
Symmetry-distinct sites (fractional):
Sm 0.000 0.000 0.220 x4
Sm 0.000 0.324 0.211 x8
Mg 0.000 0.165 0.500 x4
Mg 0.000 0.500 0.000 x2
Mg 0.000 0.500 0.500 x2
Tc 0.000 0.159 0.000 x4

Spin magnetization   0.0 μB/f.u.
ΔH_f (0 K)   -0.026 eV/atom
Crystal system   orthorhombic
DOS at the Fermi energy   23.30 states/eV/cell

10.
The following is a DFT calculation (PBE) of a geometry-optimized Sm3MgTc structure.

Cell: 5.412 5.412 5.412 Å, 90.00 90.00 90.00°
Space group Pm-3m (No. 221)
Symmetry-distinct sites (fractional):
Sm 0.000 0.000 0.500 x3
Mg 0.500 0.500 0.500 x1
Tc 0.000 0.000 0.000 x1

Spin magnetization   0.0 μB/f.u.
ΔH_f (0 K)   0.150 eV/atom
Crystal system   cubic
DOS at the Fermi energy   4.04 states/eV/cell
Energy relative to the lowest polymorph listed for this composition   113 meV/atom

11.
The following is a DFT calculation (PBE) of a geometry-optimized SmYMgTc structure.

Cell: 7.198 7.198 7.198 Å, 90.00 90.00 90.00°
Space group F-43m (No. 216)
Symmetry-distinct sites (fractional):
Sm 0.000 0.000 0.000 x4
Y 0.000 0.000 0.500 x4
Mg 0.250 0.250 0.750 x4
Tc 0.250 0.250 0.250 x4

Spin magnetization   0.0 μB/f.u.
ΔH_f (0 K)   0.028 eV/atom
Crystal system   cubic
DOS at the Fermi energy   9.20 states/eV/cell

12.
The following is a DFT calculation (PBE) of a geometry-optimized Sm6MgTe8 structure.

Cell: 12.528 12.528 12.528 Å, 90.00 90.00 90.00°
Space group Fm-3m (No. 225)
Symmetry-distinct sites (fractional):
Sm 0.000 0.250 0.250 x24
Mg 0.000 0.000 0.000 x4
Te 0.000 0.000 0.244 x24
Te 0.250 0.250 0.250 x8

Uncorrected formation energy   -1.339 eV/atom
Spin magnetization   0.0 μB/f.u.
Crystal system   cubic
DOS at the Fermi energy   18.05 states/eV/cell

Q: The highest DOS at the Fermi energy belongs to which entry?
A: Sm8Mg3Tc2